Record 1
Entry from the Open Quantum Materials Database: PrNdSi2Sn after structural relaxation (PBE).

a b c (Å): 5.867 5.867 5.867
angles (deg): 136.58 115.54 80.95
Fractional coordinates of all 5 atoms:
Si 0.809 0.500 0.309
Si 0.191 0.500 0.691
Pr 0.784 0.784 0.000
Sn 0.499 0.999 0.500
Nd 0.216 0.216 0.000

Calculated density: 6.30 Mg/m³
E_tot: -5.567 eV/atom
Total moment: 0.00 μB per cell


Record 2
Entry from the Open Quantum Materials Database: Pr2NdZn4Si4 after structural relaxation (PBE).

a b c (Å): 12.730 12.730 12.730
angles (deg): 161.08 160.98 26.96
Fractional coordinates of all 11 atoms:
Nd 0.000 0.000 0.000
Pr 0.145 0.645 0.500
Pr 0.855 0.355 0.500
Si 0.691 0.191 0.500
Si 0.548 0.548 0.000
Si 0.309 0.809 0.500
Si 0.452 0.452 0.000
Zn 0.750 0.750 0.000
Zn 0.405 0.905 0.500
Zn 0.250 0.250 0.000
Zn 0.595 0.095 0.500

Calculated density: 6.09 Mg/m³
E_tot: -4.304 eV/atom
Total moment: 0.01 μB per cell


Record 3
Entry from the Open Quantum Materials Database: PrNdZn6Si3 after structural relaxation (PBE).

a b c (Å): 7.561 7.561 4.076
angles (deg): 90.00 90.00 120.00
Fractional coordinates of all 11 atoms:
Nd 0.000 0.000 0.000
Si 0.668 0.709 0.500
Si 0.041 0.332 0.500
Si 0.291 0.959 0.500
Zn 0.858 0.332 0.000
Zn 0.668 0.526 0.000
Zn 0.371 0.334 0.500
Zn 0.666 0.037 0.500
Zn 0.474 0.142 0.000
Zn 0.963 0.629 0.500
Pr 0.333 0.667 0.000

Calculated density: 6.27 Mg/m³
E_tot: -3.442 eV/atom
Total moment: 0.00 μB per cell


Record 4
Entry from the Open Quantum Materials Database: PrNdSm after structural relaxation (PBE).

a b c (Å): 5.573 5.573 5.573
angles (deg): 60.00 60.00 60.00
Fractional coordinates of all 3 atoms:
Nd 0.250 0.250 0.250
Pr 0.750 0.750 0.750
Sm 0.000 0.000 0.000

Calculated density: 5.91 Mg/m³
Calculated formation energy: 0.691 eV per atom
Total moment: 0.05 μB per cell


Record 5
Entry from the Open Quantum Materials Database: Pr2NdSn7 after structural relaxation (PBE).

a b c (Å): 13.248 13.248 4.657
angles (deg): 90.00 90.00 160.11
Fractional coordinates of all 10 atoms:
Sn 0.095 0.905 0.500
Sn 0.289 0.711 0.500
Sn 0.711 0.289 0.500
Sn 0.905 0.095 0.500
Sn 0.405 0.595 0.000
Sn 0.595 0.405 0.000
Sn 0.500 0.500 0.500
Pr 0.815 0.185 0.000
Pr 0.185 0.815 0.000
Nd 0.000 0.000 0.000

Calculated density: 7.50 Mg/m³
E_tot: -4.832 eV/atom
Total moment: 0.00 μB per cell


Record 6
Entry from the Open Quantum Materials Database: PrNd2Sn7 after structural relaxation (PBE).

a b c (Å): 13.234 13.234 4.653
angles (deg): 90.00 90.00 160.08
Fractional coordinates of all 10 atoms:
Sn 0.096 0.904 0.500
Sn 0.405 0.595 0.000
Sn 0.500 0.500 0.500
Sn 0.711 0.289 0.500
Sn 0.595 0.405 0.000
Sn 0.289 0.711 0.500
Sn 0.904 0.096 0.500
Nd 0.815 0.185 0.000
Nd 0.185 0.815 0.000
Pr 0.000 0.000 0.000

Calculated density: 7.54 Mg/m³
E_tot: -4.828 eV/atom
Total moment: 0.00 μB per cell


Record 7
Entry from the Open Quantum Materials Database: PrNdZn2Sn2 after structural relaxation (PBE).

a b c (Å): 4.578 4.578 16.595
angles (deg): 90.00 90.00 120.00
Fractional coordinates of all 12 atoms:
Sn 0.333 0.667 0.117
Sn 0.667 0.333 0.883
Sn 0.667 0.333 0.617
Sn 0.333 0.667 0.383
Nd 0.000 0.000 0.750
Nd 0.000 0.000 0.250
Zn 0.667 0.333 0.157
Zn 0.333 0.667 0.843
Zn 0.667 0.333 0.343
Zn 0.333 0.667 0.657
Pr 0.000 0.000 0.500
Pr 0.000 0.000 0.000

Calculated density: 7.20 Mg/m³
E_tot: -3.992 eV/atom
Total moment: 0.00 μB per cell


Record 8
Entry from the Open Quantum Materials Database: PrNdZn6Sn3 after structural relaxation (PBE).

a b c (Å): 8.009 8.009 4.286
angles (deg): 90.00 90.00 120.00
Fractional coordinates of all 11 atoms:
Sn 0.669 0.723 0.500
Sn 0.054 0.331 0.500
Sn 0.277 0.946 0.500
Pr 0.333 0.667 0.000
Zn 0.393 0.335 0.500
Zn 0.942 0.607 0.500
Zn 0.665 0.058 0.500
Zn 0.848 0.332 0.000
Zn 0.668 0.516 0.000
Zn 0.484 0.152 0.000
Nd 0.000 0.000 0.000

Calculated density: 7.21 Mg/m³
E_tot: -2.970 eV/atom
Total moment: 0.00 μB per cell


Record 9
Entry from the Open Quantum Materials Database: SrPrNd after structural relaxation (PBE).

a b c (Å): 5.853 5.853 5.853
angles (deg): 60.00 60.00 60.00
Fractional coordinates of all 3 atoms:
Nd 0.250 0.250 0.250
Pr 0.000 0.000 0.000
Sr 0.750 0.750 0.750

Calculated density: 4.37 Mg/m³
E_tot: -2.961 eV/atom
Total moment: 0.06 μB per cell


Record 10
Entry from the Open Quantum Materials Database: TbPrNd after structural relaxation (PBE).

a b c (Å): 5.548 5.548 5.548
angles (deg): 60.00 60.00 60.00
Fractional coordinates of all 3 atoms:
Tb 0.750 0.750 0.750
Nd 0.250 0.250 0.250
Pr 0.000 0.000 0.000

Calculated density: 6.11 Mg/m³
Calculated formation energy: 0.734 eV per atom
Total moment: 0.07 μB per cell


Record 11
Entry from the Open Quantum Materials Database: PrNdTe2 after structural relaxation (PBE).

a b c (Å): 4.510 4.510 6.385
angles (deg): 90.00 90.00 90.00
Fractional coordinates of all 4 atoms:
Te 0.000 0.000 0.500
Te 0.500 0.500 0.000
Nd 0.000 0.000 0.000
Pr 0.500 0.500 0.500

Calculated density: 6.91 Mg/m³
E_tot: -5.388 eV/atom
Total moment: 0.01 μB per cell


Record 12
Entry from the Open Quantum Materials Database: PrNdTe4 after structural relaxation (PBE).

a b c (Å): 4.518 4.518 9.199
angles (deg): 90.00 90.00 90.00
Fractional coordinates of all 6 atoms:
Te 0.000 0.000 0.632
Te 0.000 0.500 0.999
Te 0.500 0.500 0.371
Te 0.500 0.000 0.999
Nd 0.500 0.500 0.728
Pr 0.000 0.000 0.272

Calculated density: 7.04 Mg/m³
E_tot: -4.953 eV/atom
Total moment: 0.00 μB per cell


Record 13
Entry from the Open Quantum Materials Database: Pr5NdTe6 after structural relaxation (PBE).

a b c (Å): 7.851 7.851 7.823
angles (deg): 99.65 99.65 120.18
Fractional coordinates of all 12 atoms:
Te 0.083 0.414 0.249
Te 0.248 0.248 0.750
Te 0.586 0.917 0.751
Te 0.414 0.083 0.249
Te 0.917 0.586 0.751
Te 0.752 0.752 0.250
Pr 0.500 0.500 0.500
Pr 0.832 0.168 0.500
Pr 0.333 0.667 0.000
Pr 0.667 0.333 0.000
Pr 0.168 0.832 0.500
Nd 0.000 0.000 0.000

Calculated density: 6.83 Mg/m³
E_tot: -5.397 eV/atom
Total moment: 0.00 μB per cell


Record 14
Entry from the Open Quantum Materials Database: PrNdTe6 after structural relaxation (PBE).

a b c (Å): 4.393 4.393 13.697
angles (deg): 90.00 99.23 90.00
Fractional coordinates of all 8 atoms:
Te 0.155 0.500 0.150
Te 0.785 0.500 0.412
Te 0.655 0.000 0.150
Te 0.505 0.500 0.851
Te 0.372 0.000 0.587
Te 0.005 0.000 0.851
Nd 0.249 0.000 0.341
Pr 0.908 0.500 0.659

Calculated density: 6.69 Mg/m³
E_tot: -4.546 eV/atom
Total moment: 0.01 μB per cell


Record 15
Entry from the Open Quantum Materials Database: PrNdTe after structural relaxation (PBE).

a b c (Å): 5.243 5.243 5.243
angles (deg): 60.00 60.00 60.00
Fractional coordinates of all 3 atoms:
Pr 0.750 0.750 0.750
Nd 0.250 0.250 0.250
Te 0.000 0.000 0.000

Calculated density: 6.73 Mg/m³
E_tot: -4.930 eV/atom
Total moment: 0.42 μB per cell


Record 16
Entry from the Open Quantum Materials Database: PrNdTl2 after structural relaxation (PBE).

a b c (Å): 3.910 3.910 7.803
angles (deg): 90.00 90.00 90.00
Fractional coordinates of all 4 atoms:
Tl 0.500 0.500 0.753
Tl 0.500 0.500 0.247
Nd 0.000 0.000 0.000
Pr 0.000 0.000 0.500

Calculated density: 9.66 Mg/m³
E_tot: -3.962 eV/atom
Total moment: 0.02 μB per cell


Record 17
Entry from the Open Quantum Materials Database: PrNd2Tl3 after structural relaxation (PBE).

a b c (Å): 3.889 3.889 11.787
angles (deg): 90.00 90.00 90.00
Fractional coordinates of all 6 atoms:
Tl 0.500 0.500 0.669
Tl 0.500 0.500 0.000
Tl 0.500 0.500 0.331
Nd 0.000 0.000 0.166
Nd 0.000 0.000 0.834
Pr 0.000 0.000 0.500

Calculated density: 9.71 Mg/m³
E_tot: -3.960 eV/atom
Total moment: 0.01 μB per cell


Record 18
Entry from the Open Quantum Materials Database: PrNdTl2Zn2 after structural relaxation (PBE).

a b c (Å): 4.780 4.780 7.671
angles (deg): 90.00 90.00 120.00
Fractional coordinates of all 6 atoms:
Zn 0.333 0.667 0.044
Zn 0.667 0.333 0.552
Pr 0.000 0.000 0.347
Tl 0.333 0.667 0.628
Tl 0.667 0.333 0.119
Nd 0.000 0.000 0.847

Calculated density: 9.02 Mg/m³
E_tot: -3.174 eV/atom
Total moment: 0.01 μB per cell


Record 19
Entry from the Open Quantum Materials Database: PrNdW after structural relaxation (PBE).

a b c (Å): 4.998 4.998 4.998
angles (deg): 60.00 60.00 60.00
Fractional coordinates of all 3 atoms:
W 0.000 0.000 0.000
Nd 0.250 0.250 0.250
Pr 0.750 0.750 0.750

Calculated density: 8.82 Mg/m³
Calculated formation energy: 0.847 eV per atom
Total moment: 0.01 μB per cell


Record 20
Entry from the Open Quantum Materials Database: PrNdY after structural relaxation (PBE).

a b c (Å): 5.569 5.569 5.569
angles (deg): 60.00 60.00 60.00
Fractional coordinates of all 3 atoms:
Nd 0.250 0.250 0.250
Pr 0.750 0.750 0.750
Y 0.000 0.000 0.000

Calculated density: 5.09 Mg/m³
Calculated formation energy: 0.711 eV per atom
Total moment: 0.06 μB per cell


Record 21
Entry from the Open Quantum Materials Database: PrNdZn4 after structural relaxation (PBE).

a b c (Å): 5.783 5.783 5.783
angles (deg): 133.09 100.04 98.19
Fractional coordinates of all 6 atoms:
Nd 0.962 0.462 0.500
Zn 0.358 0.165 0.193
Zn 0.972 0.165 0.807
Zn 0.530 0.835 0.696
Zn 0.139 0.835 0.304
Pr 0.539 0.539 0.000

Calculated density: 7.01 Mg/m³
Calculated formation energy: -0.364 eV per atom
Total moment: 0.02 μB per cell


Record 22
Entry from the Open Quantum Materials Database: PrNdZn after structural relaxation (PBE).

a b c (Å): 5.110 5.110 5.110
angles (deg): 60.00 60.00 60.00
Fractional coordinates of all 3 atoms:
Zn 0.000 0.000 0.000
Nd 0.250 0.250 0.250
Pr 0.750 0.750 0.750

Calculated density: 6.17 Mg/m³
Calculated formation energy: 0.027 eV per atom
Total moment: 0.11 μB per cell


Record 23
Entry from the Open Quantum Materials Database: PrNdZr after structural relaxation (PBE).

a b c (Å): 5.248 5.248 5.248
angles (deg): 60.00 60.00 60.00
Fractional coordinates of all 3 atoms:
Pr 0.250 0.250 0.250
Zr 0.000 0.000 0.000
Nd 0.500 0.500 0.500

Calculated density: 6.11 Mg/m³
Calculated formation energy: 0.935 eV per atom
Total moment: 1.97 μB per cell


Record 24
Entry from the Open Quantum Materials Database: Nd3Pt2 after structural relaxation (PBE).

a b c (Å): 7.697 7.697 7.697
angles (deg): 71.63 71.63 71.63
Fractional coordinates of all 15 atoms:
Nd 0.665 0.395 0.164
Nd 0.201 0.201 0.201
Nd 0.335 0.605 0.836
Nd 0.395 0.164 0.665
Nd 0.605 0.836 0.335
Nd 0.836 0.335 0.605
Nd 0.000 0.000 0.000
Nd 0.799 0.799 0.799
Nd 0.164 0.665 0.395
Pt 0.043 0.411 0.835
Pt 0.957 0.589 0.165
Pt 0.165 0.957 0.589
Pt 0.411 0.835 0.043
Pt 0.589 0.165 0.957
Pt 0.835 0.043 0.411

Calculated density: 10.28 Mg/m³
Calculated formation energy: -0.940 eV per atom
Total moment: 0.03 μB per cell


Record 25
Entry from the Open Quantum Materials Database: Nd5Pt3 after structural relaxation (PBE).

a b c (Å): 8.633 8.633 6.513
angles (deg): 90.00 90.00 120.00
Fractional coordinates of all 16 atoms:
Nd 0.333 0.667 0.500
Nd 0.667 0.333 0.500
Nd 0.000 0.246 0.250
Nd 0.000 0.754 0.750
Nd 0.333 0.667 0.000
Nd 0.754 0.000 0.750
Nd 0.246 0.000 0.250
Nd 0.754 0.754 0.250
Nd 0.246 0.246 0.750
Nd 0.667 0.333 0.000
Pt 0.607 0.607 0.750
Pt 0.000 0.393 0.750
Pt 0.000 0.607 0.250
Pt 0.393 0.393 0.250
Pt 0.607 0.000 0.250
Pt 0.393 0.000 0.750

Calculated density: 10.32 Mg/m³
Calculated formation energy: -0.861 eV per atom
Total moment: 0.01 μB per cell


Record 26
Entry from the Open Quantum Materials Database: Nd2Pt after structural relaxation (PBE).

a b c (Å): 6.035 6.035 6.035
angles (deg): 60.00 60.00 60.00
Fractional coordinates of all 6 atoms:
Nd 0.125 0.625 0.625
Nd 0.625 0.125 0.625
Nd 0.625 0.625 0.125
Nd 0.625 0.625 0.625
Pt 0.000 0.000 0.000
Pt 0.250 0.250 0.250

Calculated density: 10.33 Mg/m³
Calculated formation energy: 0.361 eV per atom
Total moment: 0.06 μB per cell